VASP calculation (PBE) on a geometry-optimized MgV3Cr structure.

Cell lengths 4.379, 4.379, 4.379 Å; angles 90.00, 90.00, 90.00 degrees
Space group Pm-3m (No. 221)
Inequivalent atoms, fractional coordinates:
Mg (0.000, 0.000, 0.000)
V (0.000, 0.500, 0.500)
Cr (0.500, 0.500, 0.500)

The excess energy over the best structure of this formula in the dataset comes out at 0.0 meV/atom. The formation energy comes out at 0.78 eV per atom.